Here is a relaxed Li8Ge2P crystal from Alexandria via LeMat-Bulk. Energies are from PBE.

Properties
The symmetry is No. 12. The calculation puts the total energy at -3.11 eV per atom. The value obtained for the energy of formation is -0.39 eV per atom.

```
Li8Ge2P
1.0
6.9993 -2.0450 0.0000
6.9993 2.0450 0.0000
-1.3448 0.0000 5.7869
Li Ge P
8 2 1
direct
0.0340 0.0340 0.2626
0.1502 0.1502 0.6888
0.3297 0.3297 0.5730
0.3965 0.3965 0.0838
0.6035 0.6035 0.9162
0.6703 0.6703 0.4270
0.8498 0.8498 0.3112
0.9660 0.9660 0.7374
0.2130 0.2130 0.1378
0.7870 0.7870 0.8622
0.5000 0.5000 0.5000
```

=====

Here is a relaxed Li2GeP crystal from Alexandria via LeMat-Bulk. Energies are from PBE.

Properties
The symmetry is No. 122. The calculation puts the total energy at -3.64 eV per atom. The value obtained for the energy of formation is -0.17 eV per atom.

```
Li2GeP
1.0
-1.9129 1.9129 8.7731
1.9129 -1.9129 8.7731
1.9129 1.9129 -8.7731
Li Ge P
4 2 2
direct
0.1095 0.6250 0.9845
0.3750 0.3595 0.4845
0.6405 0.1250 0.0155
0.8750 0.8905 0.5155
0.2500 0.7500 0.5000
0.5000 0.5000 0.0000
0.0000 0.0000 0.0000
0.7500 0.2500 0.5000
```

=====

Here is a relaxed LiGe6P8 crystal from Alexandria via LeMat-Bulk. Energies are from PBE.

Properties
The symmetry is No. 148. The calculation puts the total energy at -4.80 eV per atom. The value obtained for the energy of formation is 0.06 eV per atom.

```
LiGe6P8
1.0
4.9090 2.8342 3.5256
-4.9090 2.8342 3.5256
0.0000 -5.6684 3.5256
Li Ge P
1 6 8
direct
0.0000 0.0000 0.0000
0.1680 0.6304 0.3321
0.3321 0.1680 0.6304
0.3696 0.6679 0.8320
0.6304 0.3321 0.1680
0.6679 0.8320 0.3696
0.8320 0.3696 0.6679
0.1449 0.8466 0.6362
0.1534 0.3638 0.8551
0.2947 0.2947 0.2947
0.3638 0.8551 0.1534
0.6362 0.1449 0.8466
0.7053 0.7053 0.7053
0.8466 0.6362 0.1449
0.8551 0.1534 0.3638
```

=====

Here is a relaxed LiGe2P2 crystal from Alexandria via LeMat-Bulk. Energies are from PBE.

Properties
The symmetry is No. 127. The calculation puts the total energy at -4.31 eV per atom. The value obtained for the energy of formation is 0.09 eV per atom.

```
LiGe2P2
1.0
7.0164 0.0000 0.0000
0.0000 7.0164 0.0000
0.0000 0.0000 3.5049
Li Ge P
2 4 4
direct
0.0000 0.0000 0.0000
0.5000 0.5000 0.0000
0.1502 0.3498 0.5000
0.3498 0.8498 0.5000
0.6502 0.1502 0.5000
0.8498 0.6502 0.5000
0.1586 0.6586 0.0000
0.3414 0.1586 0.0000
0.6586 0.8414 0.0000
0.8414 0.3414 0.0000
```

=====

Here is a relaxed LiGe2P3 crystal from Alexandria via LeMat-Bulk. Energies are from PBE.

Properties
The symmetry is No. 9. The calculation puts the total energy at -4.73 eV per atom. The value obtained for the energy of formation is -0.16 eV per atom.

```
LiGe2P3
1.0
3.3481 -5.9229 0.0000
3.3481 5.9229 0.0000
-2.0628 0.0000 6.2822
Li Ge P
2 4 6
direct
0.0758 0.9242 0.5000
0.9242 0.0758 0.0000
0.2585 0.7471 0.0092
0.3904 0.5617 0.5062
0.5617 0.3904 0.0062
0.7471 0.2585 0.5092
0.0199 0.2142 0.3778
0.2142 0.0199 0.8778
0.3749 0.8705 0.3909
0.5411 0.6938 0.8845
0.6938 0.5411 0.3845
0.8705 0.3749 0.8909
```

=====

Here is a relaxed Li2GeP crystal from Alexandria via LeMat-Bulk. Energies are from PBE.

Properties
The symmetry is No. 225. The calculation puts the total energy at -3.68 eV per atom. The value obtained for the energy of formation is -0.21 eV per atom.

```
Li2GeP
1.0
0.0000 3.1113 3.1113
3.1113 0.0000 3.1113
3.1113 3.1113 0.0000
Li Ge P
2 1 1
direct
0.2500 0.2500 0.2500
0.7500 0.7500 0.7500
0.0000 0.0000 0.0000
0.5000 0.5000 0.5000
```

=====

Here is a relaxed LiGe5P4 crystal from Alexandria via LeMat-Bulk. Energies are from PBE.

Properties
The symmetry is No. 59. The calculation puts the total energy at -4.49 eV per atom. The value obtained for the energy of formation is 0.17 eV per atom.

```
LiGe5P4
1.0
8.4847 0.0000 0.0000
0.0000 8.8409 0.0000
0.0000 0.0000 5.6953
Li Ge P
2 10 8
direct
0.2500 0.2500 0.1755
0.7500 0.7500 0.8245
0.0109 0.5426 0.2581
0.0109 0.9574 0.2581
0.2500 0.7500 0.7661
0.4891 0.5426 0.2581
0.4891 0.9574 0.2581
0.5109 0.0426 0.7419
0.5109 0.4574 0.7419
0.7500 0.2500 0.2339
0.9891 0.0426 0.7419
0.9891 0.4574 0.7419
0.0030 0.2500 0.4344
0.2500 0.5133 0.9838
0.2500 0.9867 0.9838
0.4970 0.2500 0.4344
0.5030 0.7500 0.5656
0.7500 0.0133 0.0162
0.7500 0.4867 0.0162
0.9970 0.7500 0.5656
```

=====

Here is a relaxed LiGe2P crystal from Alexandria via LeMat-Bulk. Energies are from PBE.

Properties
The symmetry is No. 122. The calculation puts the total energy at -4.18 eV per atom. The value obtained for the energy of formation is -0.04 eV per atom.

```
LiGe2P
1.0
-3.6038 3.6038 2.8025
3.6038 -3.6038 2.8025
3.6038 3.6038 -2.8025
Li Ge P
2 4 2
direct
0.0000 0.0000 0.0000
0.7500 0.2500 0.5000
0.1606 0.6250 0.0356
0.3750 0.4106 0.5356
0.5894 0.1250 0.9644
0.8750 0.8394 0.4644
0.2500 0.7500 0.5000
0.5000 0.5000 0.0000
```

=====

Here is a relaxed LiGe2P2 crystal from Alexandria via LeMat-Bulk. Energies are from PBE.

Properties
The symmetry is No. 139. The calculation puts the total energy at -4.31 eV per atom. The value obtained for the energy of formation is 0.08 eV per atom.

```
LiGe2P2
1.0
-2.4562 2.4562 3.7641
2.4562 -2.4562 3.7641
2.4562 2.4562 -3.7641
Li Ge P
1 2 2
direct
0.0000 0.0000 0.0000
0.2500 0.7500 0.5000
0.7500 0.2500 0.5000
0.3455 0.3455 0.0000
0.6545 0.6545 0.0000
```

=====

Here is a relaxed LiGe2P2 crystal from Alexandria via LeMat-Bulk. Energies are from PBE.

Properties
The symmetry is No. 139. The calculation puts the total energy at -4.40 eV per atom. The value obtained for the energy of formation is 0.00 eV per atom.

```
LiGe2P2
1.0
-2.3829 2.3829 4.0756
2.3829 -2.3829 4.0756
2.3829 2.3829 -4.0756
Li Ge P
1 2 2
direct
0.0000 0.0000 0.0000
0.3442 0.3442 0.0000
0.6558 0.6558 0.0000
0.2500 0.7500 0.5000
0.7500 0.2500 0.5000
```

=====

Here is a relaxed LiGe2P2 crystal from Alexandria via LeMat-Bulk. Energies are from PBE.

Properties
The symmetry is No. 12. The calculation puts the total energy at -4.32 eV per atom. The value obtained for the energy of formation is 0.07 eV per atom.

```
LiGe2P2
1.0
4.3695 -5.1680 0.0000
4.3695 5.1680 0.0000
-2.7193 0.0000 4.7048
Li Ge P
2 4 4
direct
0.1406 0.8594 0.0000
0.8594 0.1406 0.0000
0.2791 0.2791 0.6866
0.3597 0.6403 0.5000
0.6403 0.3597 0.5000
0.7209 0.7209 0.3134
0.1346 0.8654 0.5000
0.2846 0.2846 0.1396
0.7154 0.7154 0.8604
0.8654 0.1346 0.5000
```

=====

Here is a relaxed Li2GeP2 crystal from Alexandria via LeMat-Bulk. Energies are from PBE.

Properties
The symmetry is No. 127. The calculation puts the total energy at -4.11 eV per atom. The value obtained for the energy of formation is -0.25 eV per atom.

```
Li2GeP2
1.0
7.5035 0.0000 0.0000
0.0000 7.5035 0.0000
0.0000 0.0000 2.6461
Li Ge P
4 2 4
direct
0.1172 0.3828 0.0000
0.3828 0.8828 0.0000
0.6172 0.1172 0.0000
0.8828 0.6172 0.0000
0.0000 0.0000 0.5000
0.5000 0.5000 0.5000
0.1812 0.6812 0.5000
0.3188 0.1812 0.5000
0.6812 0.8188 0.5000
0.8188 0.3188 0.5000
```